Record 1
# Na3CaTl2, relaxed, DFT GGA-PBE
data_Na3CaTl2
_chemical_formula_sum 'Na12 Ca4 Tl8'
_cell_length_a 17.391
_cell_length_b 4.782
_cell_length_c 10.403
_cell_angle_alpha 90.00
_cell_angle_beta 123.34
_cell_angle_gamma 90.00
_space_group_name_H-M_alt 'C 1 2/m 1'
_space_group_IT_number 12
_space_group_name_Hall '-C 2y'
loop_
_atom_site_label
_atom_site_fract_x
_atom_site_fract_y
_atom_site_fract_z
Na1 0.079 0.000 0.438
Na2 0.091 0.500 0.720
Na3 0.249 0.500 0.619
Ca1 0.100 0.000 0.984
Tl1 0.080 0.500 0.201
Tl2 0.235 0.000 0.841
# Volume ... 180.7 Å³/f.u.
# Formation energy ... -0.149 eV per atom
# Magnetic moment ... 0.0 μB/cell
# N(E_F) ... 0.380 states/eV/atom

Record 2
# Na3CaTl6, relaxed, DFT GGA-PBE
data_Na3CaTl6
_chemical_formula_sum 'Na12 Ca4 Tl24'
_cell_length_a 7.516
_cell_length_b 18.389
_cell_length_c 9.055
_cell_angle_alpha 90.00
_cell_angle_beta 90.00
_cell_angle_gamma 90.00
_space_group_name_H-M_alt 'C m c 21'
_space_group_IT_number 36
_space_group_name_Hall 'C 2c -2'
loop_
_atom_site_label
_atom_site_fract_x
_atom_site_fract_y
_atom_site_fract_z
Na1 0.000 0.041 0.000
Na2 0.241 0.377 0.162
Ca1 0.000 0.296 0.794
Tl1 0.000 0.207 0.356
Tl2 0.000 0.438 0.484
Tl3 0.213 0.195 0.029
Tl4 0.245 0.446 0.797
# Energy above the most stable polymorph in this dataset ... 0.00 kcal/mol of atoms
# Volume ... 312.9 Å³/f.u.
# Formation energy ... -0.102 eV per atom
# Magnetic moment ... 0.0 μB/cell
# N(E_F) ... 0.506 states/eV/atom

Record 3
# Na6CaTl8, relaxed, DFT GGA-PBE
data_Na6CaTl8
_chemical_formula_sum 'Na18 Ca3 Tl24'
_cell_length_a 9.3537
_cell_length_b 9.3537
_cell_length_c 18.3601
_cell_angle_alpha 90.00
_cell_angle_beta 90.00
_cell_angle_gamma 120.00
_space_group_name_H-M_alt 'R -3'
_space_group_IT_number 148
_space_group_name_Hall '-R 3'
loop_
_atom_site_label
_atom_site_fract_x
_atom_site_fract_y
_atom_site_fract_z
Na1 0.0143 0.2435 0.3956
Ca1 0.0000 0.0000 0.0000
Tl1 0.0000 0.0000 0.2316
Tl2 0.0259 0.2890 0.8901
# Volume ... 463.7 Å³/f.u.
# Formation energy ... -0.098 eV per atom
# Magnetic moment ... 0.0 μB/cell
# N(E_F) ... 0.341 states/eV/atom

Record 4
# NaCaTl, relaxed, DFT GGA-PBE
data_NaCaTl
_chemical_formula_sum 'Na1 Ca1 Tl1'
_cell_length_a 5.3915
_cell_length_b 5.3915
_cell_length_c 3.6648
_cell_angle_alpha 90.00
_cell_angle_beta 90.00
_cell_angle_gamma 120.00
_space_group_name_H-M_alt 'P 3 m 1'
_space_group_IT_number 156
_space_group_name_Hall 'P 3 -2"'
loop_
_atom_site_label
_atom_site_fract_x
_atom_site_fract_y
_atom_site_fract_z
Na1 0.0000 0.0000 0.0000
Ca1 0.3333 0.6667 0.5040
Tl1 0.6667 0.3333 0.0067
# Energy above the most stable polymorph in this dataset ... 1.17 kcal/mol of atoms
# Volume ... 92.3 Å³/f.u.
# Formation energy ... -0.162 eV per atom
# Magnetic moment ... 0.0 μB/cell
# N(E_F) ... 0.640 states/eV/atom

Record 5
# NaCa3Tl, relaxed, DFT GGA-PBE
data_NaCa3Tl
_chemical_formula_sum 'Na1 Ca3 Tl1'
_cell_length_a 5.952
_cell_length_b 5.952
_cell_length_c 5.952
_cell_angle_alpha 90.00
_cell_angle_beta 90.00
_cell_angle_gamma 90.00
_space_group_name_H-M_alt 'P m -3 m'
_space_group_IT_number 221
_space_group_name_Hall '-P 4 2 3'
loop_
_atom_site_label
_atom_site_fract_x
_atom_site_fract_y
_atom_site_fract_z
Na1 0.000 0.000 0.000
Ca1 0.000 0.000 0.500
Tl1 0.500 0.500 0.500
# Energy above the most stable polymorph in this dataset ... 13.28 kcal/mol of atoms
# Volume ... 210.9 Å³/f.u.
# Formation energy ... 0.406 eV per atom
# Magnetic moment ... 0.0 μB/cell
# N(E_F) ... 1.482 states/eV/atom

Record 6
# Na2CaTl2, relaxed, DFT GGA-PBE
data_Na2CaTl2
_chemical_formula_sum 'Na4 Ca2 Tl4'
_cell_length_a 8.926
_cell_length_b 8.926
_cell_length_c 3.677
_cell_angle_alpha 90.00
_cell_angle_beta 90.00
_cell_angle_gamma 90.00
_space_group_name_H-M_alt 'P 4/m b m'
_space_group_IT_number 127
_space_group_name_Hall '-P 4 2ab'
loop_
_atom_site_label
_atom_site_fract_x
_atom_site_fract_y
_atom_site_fract_z
Na1 0.120 0.380 0.000
Ca1 0.000 0.000 0.000
Tl1 0.181 0.681 0.500
# Energy above the most stable polymorph in this dataset ... 1.45 kcal/mol of atoms
# Volume ... 146.5 Å³/f.u.
# Formation energy ... -0.127 eV per atom
# Magnetic moment ... 0.0 μB/cell
# N(E_F) ... 0.380 states/eV/atom

Record 7
# NaCa3Tl7, relaxed, DFT GGA-PBE
data_NaCa3Tl7
_chemical_formula_sum 'Na4 Ca12 Tl28'
_cell_length_a 3.825
_cell_length_b 21.346
_cell_length_c 16.302
_cell_angle_alpha 90.00
_cell_angle_beta 90.00
_cell_angle_gamma 90.00
_space_group_name_H-M_alt 'C m c m'
_space_group_IT_number 63
_space_group_name_Hall '-C 2c 2'
loop_
_atom_site_label
_atom_site_fract_x
_atom_site_fract_y
_atom_site_fract_z
Na1 0.000 0.081 0.250
Ca1 0.000 0.080 0.585
Ca2 0.000 0.298 0.250
Tl1 0.000 0.296 0.052
Tl2 0.000 0.312 0.647
Tl3 0.000 0.452 0.250
Tl4 0.000 0.452 0.586
# Volume ... 332.8 Å³/f.u.
# Formation energy ... -0.203 eV per atom
# Magnetic moment ... 0.0 μB/cell
# N(E_F) ... 0.540 states/eV/atom

Record 8
# NaCa3Tl2, relaxed, DFT GGA-PBE
data_NaCa3Tl2
_chemical_formula_sum 'Na2 Ca6 Tl4'
_cell_length_a 5.490
_cell_length_b 16.530
_cell_length_c 4.120
_cell_angle_alpha 90.00
_cell_angle_beta 90.00
_cell_angle_gamma 90.00
_space_group_name_H-M_alt 'C m m m'
_space_group_IT_number 65
_space_group_name_Hall '-C 2 2'
loop_
_atom_site_label
_atom_site_fract_x
_atom_site_fract_y
_atom_site_fract_z
Na1 0.000 0.000 0.000
Ca1 0.000 0.178 0.500
Ca2 0.000 0.500 0.500
Tl1 0.000 0.341 0.000
# Energy above the most stable polymorph in this dataset ... 0.22 kcal/mol of atoms
# Volume ... 187.0 Å³/f.u.
# Formation energy ... -0.279 eV per atom
# Magnetic moment ... 0.0 μB/cell
# N(E_F) ... 0.686 states/eV/atom

Record 9
# Na3CaTl4, relaxed, DFT GGA-PBE
data_Na3CaTl4
_chemical_formula_sum 'Na6 Ca2 Tl8'
_cell_length_a 10.663
_cell_length_b 7.988
_cell_length_c 5.331
_cell_angle_alpha 90.00
_cell_angle_beta 90.00
_cell_angle_gamma 90.00
_space_group_name_H-M_alt 'P m m a'
_space_group_IT_number 51
_space_group_name_Hall '-P 2a 2a'
loop_
_atom_site_label
_atom_site_fract_x
_atom_site_fract_y
_atom_site_fract_z
Na1 0.000 0.000 0.000
Na2 0.250 0.000 0.497
Na3 0.250 0.500 0.498
Ca1 0.000 0.500 0.000
Tl1 0.000 0.245 0.500
Tl2 0.250 0.245 0.997
# Volume ... 227.1 Å³/f.u.
# Formation energy ... -0.168 eV per atom
# Magnetic moment ... 0.0 μB/cell
# N(E_F) ... 0.719 states/eV/atom

Record 10
# NaCa2Tl, relaxed, DFT GGA-PBE
data_NaCa2Tl
_chemical_formula_sum 'Na3 Ca6 Tl3'
_cell_length_a 3.9098
_cell_length_b 3.9098
_cell_length_c 33.0042
_cell_angle_alpha 90.00
_cell_angle_beta 90.00
_cell_angle_gamma 120.00
_space_group_name_H-M_alt 'R 3 m'
_space_group_IT_number 160
_space_group_name_Hall 'R 3 -2"'
loop_
_atom_site_label
_atom_site_fract_x
_atom_site_fract_y
_atom_site_fract_z
Na1 0.0000 0.0000 0.0000
Ca1 0.0000 0.0000 0.5721
Ca2 0.0000 0.0000 0.7607
Tl1 0.0000 0.0000 0.1664
# Energy above the most stable polymorph in this dataset ... 2.86 kcal/mol of atoms
# Volume ... 145.6 Å³/f.u.
# Formation energy ... -0.110 eV per atom
# Magnetic moment ... 0.0 μB/cell
# N(E_F) ... 1.048 states/eV/atom

Record 11
# NaCa2Tl, relaxed, DFT GGA-PBE
data_NaCa2Tl
_chemical_formula_sum 'Na1 Ca2 Tl1'
_cell_length_a 3.927
_cell_length_b 3.927
_cell_length_c 8.836
_cell_angle_alpha 90.00
_cell_angle_beta 90.00
_cell_angle_gamma 90.00
_space_group_name_H-M_alt 'P 4/m m m'
_space_group_IT_number 123
_space_group_name_Hall '-P 4 2'
loop_
_atom_site_label
_atom_site_fract_x
_atom_site_fract_y
_atom_site_fract_z
Na1 0.000 0.000 0.000
Ca1 0.500 0.500 0.290
Tl1 0.000 0.000 0.500
# Energy above the most stable polymorph in this dataset ... 0.51 kcal/mol of atoms
# Volume ... 136.2 Å³/f.u.
# Formation energy ... -0.212 eV per atom
# Magnetic moment ... 0.0 μB/cell
# N(E_F) ... 0.710 states/eV/atom

Record 12
# NaCaTl6, relaxed, DFT GGA-PBE
data_NaCaTl6
_chemical_formula_sum 'Na2 Ca2 Tl12'
_cell_length_a 5.715
_cell_length_b 6.855
_cell_length_c 11.858
_cell_angle_alpha 90.00
_cell_angle_beta 90.00
_cell_angle_gamma 90.00
_space_group_name_H-M_alt 'A m m 2'
_space_group_IT_number 38
_space_group_name_Hall 'A 2 -2'
loop_
_atom_site_label
_atom_site_fract_x
_atom_site_fract_y
_atom_site_fract_z
Na1 0.000 0.000 0.000
Ca1 0.500 0.000 0.332
Tl1 0.000 0.000 0.502
Tl2 0.000 0.247 0.749
Tl3 0.500 0.000 0.832
Tl4 0.500 0.249 0.583
# Volume ... 232.3 Å³/f.u.
# Formation energy ... -0.148 eV per atom
# Magnetic moment ... 0.0 μB/cell
# N(E_F) ... 0.334 states/eV/atom

Record 13
# Na3Ca2Tl8, relaxed, DFT GGA-PBE
data_Na3Ca2Tl8
_chemical_formula_sum 'Na6 Ca4 Tl16'
_cell_length_a 14.567
_cell_length_b 8.585
_cell_length_c 6.583
_cell_angle_alpha 90.00
_cell_angle_beta 97.07
_cell_angle_gamma 90.00
_space_group_name_H-M_alt 'C 1 2/m 1'
_space_group_IT_number 12
_space_group_name_Hall '-C 2y'
loop_
_atom_site_label
_atom_site_fract_x
_atom_site_fract_y
_atom_site_fract_z
Na1 0.000 0.000 0.000
Na2 0.000 0.181 0.500
Ca1 0.217 0.000 0.787
Tl1 0.094 0.500 0.404
Tl2 0.111 0.315 0.928
Tl3 0.204 0.000 0.289
# Volume ... 408.5 Å³/f.u.
# Formation energy ... -0.072 eV per atom
# Magnetic moment ... 0.0 μB/cell
# N(E_F) ... 0.564 states/eV/atom

Record 14
# NaCa4Tl15, relaxed, DFT GGA-PBE
data_NaCa4Tl15
_chemical_formula_sum 'Na1 Ca4 Tl15'
_cell_length_a 4.856
_cell_length_b 4.856
_cell_length_c 24.495
_cell_angle_alpha 90.00
_cell_angle_beta 90.00
_cell_angle_gamma 90.00
_space_group_name_H-M_alt 'P 4/m m m'
_space_group_IT_number 123
_space_group_name_Hall '-P 4 2'
loop_
_atom_site_label
_atom_site_fract_x
_atom_site_fract_y
_atom_site_fract_z
Na1 0.000 0.000 0.000
Ca1 0.000 0.000 0.200
Ca2 0.000 0.000 0.400
Tl1 0.000 0.500 0.099
Tl2 0.000 0.500 0.300
Tl3 0.000 0.500 0.500
Tl4 0.500 0.500 0.000
Tl5 0.500 0.500 0.200
Tl6 0.500 0.500 0.400
# Volume ... 577.6 Å³/f.u.
# Formation energy ... -0.200 eV per atom
# Magnetic moment ... 0.0 μB/cell
# N(E_F) ... 0.656 states/eV/atom

Record 15
# Na4CaTl4, relaxed, DFT GGA-PBE
data_Na4CaTl4
_chemical_formula_sum 'Na8 Ca2 Tl8'
_cell_length_a 7.039
_cell_length_b 7.039
_cell_length_c 11.120
_cell_angle_alpha 90.00
_cell_angle_beta 90.00
_cell_angle_gamma 90.00
_space_group_name_H-M_alt 'P 42/n m c'
_space_group_IT_number 137
loop_
_space_group_symop_operation_xyz
'x,y,z'
'-x,-y,-z'
'-y+1/2,x,z+1/2'
'y+1/2,-x,-z+1/2'
'-x+1/2,-y+1/2,z'
'x+1/2,y+1/2,-z'
'y,-x+1/2,z+1/2'
'-y,x+1/2,-z+1/2'
'x+1/2,-y,-z'
'-x+1/2,y,z'
'-y,-x,-z+1/2'
'y,x,z+1/2'
'-x,y+1/2,-z'
'x,-y+1/2,z'
'y+1/2,x+1/2,-z+1/2'
'-y+1/2,-x+1/2,z+1/2'
loop_
_atom_site_label
_atom_site_fract_x
_atom_site_fract_y
_atom_site_fract_z
Na1 0.031 0.250 0.184
Ca1 0.250 0.750 0.250
Tl1 0.010 0.250 0.480
# Volume ... 275.5 Å³/f.u.
# Formation energy ... -0.019 eV per atom
# Magnetic moment ... 0.0 μB/cell
# N(E_F) ... 0.591 states/eV/atom

Record 16
# Na2Ca2Tl3, relaxed, DFT GGA-PBE
data_Na2Ca2Tl3
_chemical_formula_sum 'Na4 Ca4 Tl6'
_cell_length_a 3.928
_cell_length_b 28.803
_cell_length_c 3.835
_cell_angle_alpha 90.00
_cell_angle_beta 90.00
_cell_angle_gamma 90.00
_space_group_name_H-M_alt 'C m m m'
_space_group_IT_number 65
_space_group_name_Hall '-C 2 2'
loop_
_atom_site_label
_atom_site_fract_x
_atom_site_fract_y
_atom_site_fract_z
Na1 0.000 0.199 0.000
Ca1 0.000 0.067 0.000
Tl1 0.000 0.364 0.500
Tl2 0.000 0.500 0.500
# Volume ... 216.9 Å³/f.u.
# Formation energy ... -0.266 eV per atom
# Magnetic moment ... 0.0 μB/cell
# N(E_F) ... 0.401 states/eV/atom

Record 17
# Na3CaTl6, relaxed, DFT GGA-PBE
data_Na3CaTl6
_chemical_formula_sum 'Na9 Ca3 Tl18'
_cell_length_a 13.5598
_cell_length_b 13.5598
_cell_length_c 6.1169
_cell_angle_alpha 90.00
_cell_angle_beta 90.00
_cell_angle_gamma 120.00
_space_group_name_H-M_alt 'R 3 m'
_space_group_IT_number 160
_space_group_name_Hall 'R 3 -2"'
loop_
_atom_site_label
_atom_site_fract_x
_atom_site_fract_y
_atom_site_fract_z
Na1 0.0081 0.5040 0.0000
Ca1 0.0000 0.0000 0.3910
Tl1 0.0828 0.1656 0.8233
Tl2 0.2118 0.4236 0.8385
# Energy above the most stable polymorph in this dataset ... 0.82 kcal/mol of atoms
# Volume ... 324.7 Å³/f.u.
# Formation energy ... -0.066 eV per atom
# Magnetic moment ... 0.0 μB/cell
# N(E_F) ... 0.767 states/eV/atom

Record 18
# Na3Ca2Tl4, relaxed, DFT GGA-PBE
data_Na3Ca2Tl4
_chemical_formula_sum 'Na6 Ca4 Tl8'
_cell_length_a 9.493
_cell_length_b 5.473
_cell_length_c 10.170
_cell_angle_alpha 90.00
_cell_angle_beta 90.14
_cell_angle_gamma 90.00
_space_group_name_H-M_alt 'C 1 2/m 1'
_space_group_IT_number 12
_space_group_name_Hall '-C 2y'
loop_
_atom_site_label
_atom_site_fract_x
_atom_site_fract_y
_atom_site_fract_z
Na1 0.000 0.000 0.000
Na2 0.166 0.500 0.567
Ca1 0.167 0.500 0.209
Tl1 0.000 0.000 0.337
Tl2 0.166 0.500 0.886
# Volume ... 264.2 Å³/f.u.
# Formation energy ... -0.211 eV per atom
# Magnetic moment ... 0.0 μB/cell
# N(E_F) ... 0.615 states/eV/atom

Record 19
# Na2Ca2Tl, relaxed, DFT GGA-PBE
data_Na2Ca2Tl
_chemical_formula_sum 'Na4 Ca4 Tl2'
_cell_length_a 8.450
_cell_length_b 8.450
_cell_length_c 5.393
_cell_angle_alpha 90.00
_cell_angle_beta 90.00
_cell_angle_gamma 90.00
_space_group_name_H-M_alt 'P 4/m b m'
_space_group_IT_number 127
_space_group_name_Hall '-P 4 2ab'
loop_
_atom_site_label
_atom_site_fract_x
_atom_site_fract_y
_atom_site_fract_z
Na1 0.154 0.346 0.000
Ca1 0.157 0.657 0.500
Tl1 0.000 0.000 0.500
# Energy above the most stable polymorph in this dataset ... 1.49 kcal/mol of atoms
# Volume ... 192.5 Å³/f.u.
# Formation energy ... 0.048 eV per atom
# Magnetic moment ... 0.0 μB/cell
# N(E_F) ... 0.784 states/eV/atom

Record 20
# Na2Ca2Tl, relaxed, DFT GGA-PBE
data_Na2Ca2Tl
_chemical_formula_sum 'Na4 Ca4 Tl2'
_cell_length_a 4.150
_cell_length_b 4.150
_cell_length_c 20.308
_cell_angle_alpha 90.00
_cell_angle_beta 90.00
_cell_angle_gamma 90.00
_space_group_name_H-M_alt 'I 4/m m m'
_space_group_IT_number 139
_space_group_name_Hall '-I 4 2'
loop_
_atom_site_label
_atom_site_fract_x
_atom_site_fract_y
_atom_site_fract_z
Na1 0.000 0.500 0.250
Ca1 0.000 0.000 0.088
Tl1 0.000 0.000 0.500
# Energy above the most stable polymorph in this dataset ... 0.00 kcal/mol of atoms
# Volume ... 174.9 Å³/f.u.
# Formation energy ... -0.017 eV per atom
# Magnetic moment ... 0.0 μB/cell
# N(E_F) ... 0.708 states/eV/atom

Record 21
# Na2CaTl2, relaxed, DFT GGA-PBE
data_Na2CaTl2
_chemical_formula_sum 'Na4 Ca2 Tl4'
_cell_length_a 4.015
_cell_length_b 20.454
_cell_length_c 3.847
_cell_angle_alpha 90.00
_cell_angle_beta 90.00
_cell_angle_gamma 90.00
_space_group_name_H-M_alt 'C m m m'
_space_group_IT_number 65
_space_group_name_Hall '-C 2 2'
loop_
_atom_site_label
_atom_site_fract_x
_atom_site_fract_y
_atom_site_fract_z
Na1 0.000 0.180 0.000
Ca1 0.000 0.000 0.000
Tl1 0.000 0.407 0.500
# Energy above the most stable polymorph in this dataset ... 0.00 kcal/mol of atoms
# Volume ... 158.0 Å³/f.u.
# Formation energy ... -0.190 eV per atom
# Magnetic moment ... 0.0 μB/cell
# N(E_F) ... 0.263 states/eV/atom

Record 22
# NaCa2Tl3, relaxed, DFT GGA-PBE
data_NaCa2Tl3
_chemical_formula_sum 'Na2 Ca4 Tl6'
_cell_length_a 5.4537
_cell_length_b 5.4537
_cell_length_c 13.3887
_cell_angle_alpha 90.00
_cell_angle_beta 90.00
_cell_angle_gamma 120.00
_space_group_name_H-M_alt 'P -3 m 1'
_space_group_IT_number 164
_space_group_name_Hall '-P 3 2"'
loop_
_atom_site_label
_atom_site_fract_x
_atom_site_fract_y
_atom_site_fract_z
Na1 0.3333 0.6667 0.1656
Ca1 0.0000 0.0000 0.0000
Ca2 0.0000 0.0000 0.5000
Ca3 0.3333 0.6667 0.6692
Tl1 0.0000 0.0000 0.2470
Tl2 0.3333 0.6667 0.4140
Tl3 0.3333 0.6667 0.9175
# Volume ... 172.4 Å³/f.u.
# Formation energy ... -0.321 eV per atom
# Magnetic moment ... 0.0 μB/cell
# N(E_F) ... 0.567 states/eV/atom